(1)
Na4LiI5: relaxed, GGA-PBE.

a b c (Å): 4.5386 4.5386 55.8363
angles (deg): 90.00 90.00 120.00
Last column: nearest neighbours and their distance in Å.
Space group R-3m (No. 166, hexagonal axes)
Asymmetric unit:
1 Na 0.0000 0.0000 0.1026  6 I 3.24-3.25
2 Na 0.0000 0.0000 0.2991  6 I 3.24
3 Li 0.0000 0.0000 0.5000  6 I 3.10
4 I 0.0000 0.0000 0.0000  6 Na 3.24
5 I 0.0000 0.0000 0.1963  3 Li 3.10, 3 Na 3.25
6 I 0.0000 0.0000 0.4018  6 Na 3.24


(2)
NaLi2I3: relaxed, GGA-PBE.

a b c (Å): 10.1843 14.5719 6.5744
angles (deg): 90.00 90.00 90.00
Last column: nearest neighbours and their distance in Å.
Space group Cmcm (No. 63)
Asymmetric unit:
1 Na 0.0000 0.2094 0.2500  2 I 3.08
2 Li 0.1756 0.0000 0.0000  4 I 2.71-2.84
3 I 0.0000 0.1014 0.7500  4 Li 2.84
4 I 0.2202 0.3714 0.7500  2 Li 2.71

## Properties
Polymorph energy (0 for the lowest one)   72 meV per atom


(3)
Na2Li2I: relaxed, GGA-PBE.

a b c (Å): 8.2892 8.2892 5.0212
angles (deg): 90.00 90.00 90.00
Last column: nearest neighbours and their distance in Å.
Space group P4/mbm (No. 127)
Asymmetric unit:
1 Na 0.1467 0.3533 0.0000  2 I 3.17, 4 Li 3.41, 1 Na 3.44
2 Li 0.1313 0.6313 0.5000  1 Li 3.08, 4 Na 3.41
3 I 0.0000 0.0000 0.0000  4 Na 3.17

## Properties
Polymorph energy (0 for the lowest one)   90 meV per atom


In eV per atom, the formation energy from raw total energies values for the records above are, in order, -1.237; -1.138; -0.193.
In kg/m³, the density values for the records above are, in order, 3668; 2843; 1798.
In μB per cell, the magnetic moment values for the records above are, in order, 0.000; 0.000; 0.000.